No. 1
First-principles (PBE) data for a relaxed structure of LaYTa2, as listed in Alexandria. Values from VASP.

Calculated values
**Energy of formation from the pure elements**: 0.415 eV/atom
**Total magnetization**: 0.00 μB per formula unit
**Energy above the most stable polymorph in this dataset**: 0.71 eV/f.u.

Cell and atoms, written as Quantum ESPRESSO input:
```
&SYSTEM
  ibrav = 0, nat = 4, ntyp = 3
/
ATOMIC_SPECIES
La 138.91 La.upf
Y 88.91 Y.upf
Ta 180.95 Ta.upf
CELL_PARAMETERS angstrom
3.189 0.000 0.000
0.000 4.789 0.000
-1.551 0.000 6.498
ATOMIC_POSITIONS crystal
La 0.000 0.000 0.000
Y 0.252 0.500 0.670
Ta 0.559 0.000 0.438
Ta 0.685 0.500 0.245
```

No. 2
First-principles (PBE) data for a relaxed structure of La2YTa, as listed in Alexandria. Values from VASP.

Calculated values
**Energy of formation from the pure elements**: 0.434 eV/atom
**Total magnetization**: 0.00 μB per formula unit
**Energy above the most stable polymorph in this dataset**: 0.46 eV/f.u.

Cell and atoms, written as Quantum ESPRESSO input:
```
&SYSTEM
  ibrav = 0, nat = 4, ntyp = 3
/
ATOMIC_SPECIES
La 138.91 La.upf
Y 88.91 Y.upf
Ta 180.95 Ta.upf
CELL_PARAMETERS angstrom
0.000 3.843 3.843
3.843 0.000 3.843
3.843 3.843 0.000
ATOMIC_POSITIONS crystal
La 0.250 0.250 0.250
La 0.750 0.750 0.750
Y 0.000 0.000 0.000
Ta 0.500 0.500 0.500
```

No. 3
First-principles (PBE) data for a relaxed structure of LaY2Ta, as listed in Alexandria. Values from VASP.

Calculated values
**Energy of formation from the pure elements**: 0.271 eV/atom
**Total magnetization**: 0.00 μB per formula unit
**Energy above the most stable polymorph in this dataset**: 0.00 eV/f.u.

Cell and atoms, written as Quantum ESPRESSO input:
```
&SYSTEM
  ibrav = 0, nat = 4, ntyp = 3
/
ATOMIC_SPECIES
La 138.91 La.upf
Y 88.91 Y.upf
Ta 180.95 Ta.upf
CELL_PARAMETERS angstrom
3.320 0.000 0.000
0.000 3.320 0.000
0.000 0.000 10.452
ATOMIC_POSITIONS crystal
La 0.000 0.000 0.000
Y 0.500 0.500 0.293
Y 0.500 0.500 0.707
Ta 0.000 0.000 0.500
```

No. 4
First-principles (PBE) data for a relaxed structure of LaY2Ta, as listed in Alexandria. Values from VASP.

Calculated values
**Energy of formation from the pure elements**: 0.469 eV/atom
**Total magnetization**: 0.49 μB per formula unit
**Energy above the most stable polymorph in this dataset**: 0.79 eV/f.u.

Cell and atoms, written as Quantum ESPRESSO input:
```
&SYSTEM
  ibrav = 0, nat = 4, ntyp = 3
/
ATOMIC_SPECIES
La 138.91 La.upf
Y 88.91 Y.upf
Ta 180.95 Ta.upf
CELL_PARAMETERS angstrom
0.000 3.817 3.817
3.817 0.000 3.817
3.817 3.817 0.000
ATOMIC_POSITIONS crystal
La 0.000 0.000 0.000
Y 0.250 0.250 0.250
Y 0.750 0.750 0.750
Ta 0.500 0.500 0.500
```

No. 5
First-principles (PBE) data for a relaxed structure of La2YTa, as listed in Alexandria. Values from VASP.

Calculated values
**Energy of formation from the pure elements**: 0.413 eV/atom
**Total magnetization**: 0.00 μB per formula unit
**Energy above the most stable polymorph in this dataset**: 0.38 eV/f.u.

Cell and atoms, written as Quantum ESPRESSO input:
```
&SYSTEM
  ibrav = 0, nat = 4, ntyp = 3
/
ATOMIC_SPECIES
La 138.91 La.upf
Y 88.91 Y.upf
Ta 180.95 Ta.upf
CELL_PARAMETERS angstrom
3.362 0.000 0.000
0.000 4.944 0.000
-0.012 0.000 6.960
ATOMIC_POSITIONS crystal
La 0.000 0.000 0.224
La 0.000 0.000 0.776
Y 0.500 0.500 0.500
Ta 0.500 0.500 0.000
```

No. 6
First-principles (PBE) data for a relaxed structure of LaTaZn2, as listed in Alexandria. Values from VASP.

Calculated values
**Energy of formation from the pure elements**: 0.351 eV/atom
**Total magnetization**: 0.00 μB per formula unit
**Energy above the most stable polymorph in this dataset**: 1.30 eV/f.u.

Cell and atoms, written as Quantum ESPRESSO input:
```
&SYSTEM
  ibrav = 0, nat = 4, ntyp = 3
/
ATOMIC_SPECIES
La 138.91 La.upf
Ta 180.95 Ta.upf
Zn 65.41 Zn.upf
CELL_PARAMETERS angstrom
-2.112 2.112 4.660
2.112 -2.112 4.660
2.112 2.112 -4.660
ATOMIC_POSITIONS crystal
La 0.000 0.000 0.000
Ta 0.250 0.750 0.500
Zn 0.500 0.500 0.000
Zn 0.750 0.250 0.500
```

No. 7
First-principles (PBE) data for a relaxed structure of LaTaZn2, as listed in Alexandria. Values from VASP.

Calculated values
**Energy of formation from the pure elements**: 0.215 eV/atom
**Total magnetization**: 0.00 μB per formula unit
**Energy above the most stable polymorph in this dataset**: 0.76 eV/f.u.

Cell and atoms, written as Quantum ESPRESSO input:
```
&SYSTEM
  ibrav = 0, nat = 4, ntyp = 3
/
ATOMIC_SPECIES
La 138.91 La.upf
Ta 180.95 Ta.upf
Zn 65.41 Zn.upf
CELL_PARAMETERS angstrom
5.231 0.000 0.000
0.000 5.231 0.000
0.000 0.000 2.950
ATOMIC_POSITIONS crystal
La 0.000 0.000 0.000
Ta 0.500 0.500 0.000
Zn 0.000 0.500 0.500
Zn 0.500 0.000 0.500
```

No. 8
First-principles (PBE) data for a relaxed structure of LaTaZn2, as listed in Alexandria. Values from VASP.

Calculated values
**Energy of formation from the pure elements**: 0.539 eV/atom
**Total magnetization**: 0.00 μB per formula unit
**Energy above the most stable polymorph in this dataset**: 2.06 eV/f.u.

Cell and atoms, written as Quantum ESPRESSO input:
```
&SYSTEM
  ibrav = 0, nat = 8, ntyp = 3
/
ATOMIC_SPECIES
La 138.91 La.upf
Ta 180.95 Ta.upf
Zn 65.41 Zn.upf
CELL_PARAMETERS angstrom
-2.265 2.265 9.525
2.265 -2.265 9.525
2.265 2.265 -9.525
ATOMIC_POSITIONS crystal
La 0.000 0.000 0.000
La 0.750 0.250 0.500
Ta 0.250 0.750 0.500
Ta 0.500 0.500 0.000
Zn 0.262 0.625 0.137
Zn 0.375 0.512 0.637
Zn 0.488 0.125 0.863
Zn 0.875 0.738 0.363
```

No. 9
First-principles (PBE) data for a relaxed structure of LaTaZn2, as listed in Alexandria. Values from VASP.

Calculated values
**Energy of formation from the pure elements**: 0.267 eV/atom
**Total magnetization**: 0.53 μB per formula unit
**Energy above the most stable polymorph in this dataset**: 0.97 eV/f.u.

Cell and atoms, written as Quantum ESPRESSO input:
```
&SYSTEM
  ibrav = 0, nat = 4, ntyp = 3
/
ATOMIC_SPECIES
La 138.91 La.upf
Ta 180.95 Ta.upf
Zn 65.41 Zn.upf
CELL_PARAMETERS angstrom
1.554 0.897 9.842
-1.554 0.897 9.842
0.000 -1.795 9.842
ATOMIC_POSITIONS crystal
La 0.000 0.000 0.000
Ta 0.500 0.500 0.500
Zn 0.240 0.240 0.240
Zn 0.760 0.760 0.760
```

No. 10
First-principles (PBE) data for a relaxed structure of LaTaZn2, as listed in Alexandria. Values from VASP.

Calculated values
**Energy of formation from the pure elements**: 0.133 eV/atom
**Total magnetization**: 0.00 μB per formula unit
**Energy above the most stable polymorph in this dataset**: 0.43 eV/f.u.

Cell and atoms, written as Quantum ESPRESSO input:
```
&SYSTEM
  ibrav = 0, nat = 4, ntyp = 3
/
ATOMIC_SPECIES
La 138.91 La.upf
Ta 180.95 Ta.upf
Zn 65.41 Zn.upf
CELL_PARAMETERS angstrom
3.164 0.000 0.000
0.000 4.325 0.000
-1.573 0.000 6.085
ATOMIC_POSITIONS crystal
La 0.000 0.000 0.000
Ta 0.685 0.500 0.368
Zn 0.252 0.000 0.501
Zn 0.371 0.500 0.742
```

No. 11
First-principles (PBE) data for a relaxed structure of LaTaZn2, as listed in Alexandria. Values from VASP.

Calculated values
**Energy of formation from the pure elements**: 0.212 eV/atom
**Total magnetization**: 0.00 μB per formula unit
**Energy above the most stable polymorph in this dataset**: 0.75 eV/f.u.

Cell and atoms, written as Quantum ESPRESSO input:
```
&SYSTEM
  ibrav = 0, nat = 4, ntyp = 3
/
ATOMIC_SPECIES
La 138.91 La.upf
Ta 180.95 Ta.upf
Zn 65.41 Zn.upf
CELL_PARAMETERS angstrom
0.000 3.461 3.461
3.461 0.000 3.461
3.461 3.461 0.000
ATOMIC_POSITIONS crystal
La 0.000 0.000 0.000
Ta 0.500 0.500 0.500
Zn 0.250 0.250 0.250
Zn 0.750 0.750 0.750
```

No. 12
First-principles (PBE) data for a relaxed structure of LaTaZn, as listed in Alexandria. Values from VASP.

Calculated values
**Energy of formation from the pure elements**: 0.700 eV/atom
**Total magnetization**: 0.00 μB per formula unit
**Energy above the most stable polymorph in this dataset**: 1.45 eV/f.u.

Cell and atoms, written as Quantum ESPRESSO input:
```
&SYSTEM
  ibrav = 0, nat = 3, ntyp = 3
/
ATOMIC_SPECIES
La 138.91 La.upf
Ta 180.95 Ta.upf
Zn 65.41 Zn.upf
CELL_PARAMETERS angstrom
0.000 3.348 3.348
3.348 0.000 3.348
3.348 3.348 0.000
ATOMIC_POSITIONS crystal
La 0.000 0.000 0.000
Ta 0.500 0.500 0.500
Zn 0.250 0.250 0.250
```

No. 13
First-principles (PBE) data for a relaxed structure of LaTaZn, as listed in Alexandria. Values from VASP.

Calculated values
**Energy of formation from the pure elements**: 0.269 eV/atom
**Total magnetization**: 0.00 μB per formula unit
**Energy above the most stable polymorph in this dataset**: 0.16 eV/f.u.

Cell and atoms, written as Quantum ESPRESSO input:
```
&SYSTEM
  ibrav = 0, nat = 3, ntyp = 3
/
ATOMIC_SPECIES
La 138.91 La.upf
Ta 180.95 Ta.upf
Zn 65.41 Zn.upf
CELL_PARAMETERS angstrom
-1.603 1.914 5.541
1.603 -1.914 5.541
1.603 1.914 -5.541
ATOMIC_POSITIONS crystal
La 0.000 0.000 0.000
Ta 0.699 0.699 0.000
Zn 0.301 0.301 0.000
```

No. 14
First-principles (PBE) data for a relaxed structure of LaTaZn, as listed in Alexandria. Values from VASP.

Calculated values
**Energy of formation from the pure elements**: 0.401 eV/atom
**Total magnetization**: 0.00 μB per formula unit
**Energy above the most stable polymorph in this dataset**: 0.56 eV/f.u.

Cell and atoms, written as Quantum ESPRESSO input:
```
&SYSTEM
  ibrav = 0, nat = 3, ntyp = 3
/
ATOMIC_SPECIES
La 138.91 La.upf
Ta 180.95 Ta.upf
Zn 65.41 Zn.upf
CELL_PARAMETERS angstrom
3.095 0.000 0.000
-1.547 2.680 0.000
0.000 0.000 7.874
ATOMIC_POSITIONS crystal
La 0.000 0.000 0.000
Ta 0.667 0.333 0.361
Zn 0.333 0.667 0.640
```

No. 15
First-principles (PBE) data for a relaxed structure of LaTaZn, as listed in Alexandria. Values from VASP.

Calculated values
**Energy of formation from the pure elements**: 0.384 eV/atom
**Total magnetization**: 0.00 μB per formula unit
**Energy above the most stable polymorph in this dataset**: 0.51 eV/f.u.

Cell and atoms, written as Quantum ESPRESSO input:
```
&SYSTEM
  ibrav = 0, nat = 3, ntyp = 3
/
ATOMIC_SPECIES
La 138.91 La.upf
Ta 180.95 Ta.upf
Zn 65.41 Zn.upf
CELL_PARAMETERS angstrom
4.939 0.000 0.000
-2.469 4.277 0.000
0.000 0.000 3.182
ATOMIC_POSITIONS crystal
La 0.000 0.000 0.000
Ta 0.667 0.333 0.500
Zn 0.333 0.667 0.500
```

No. 16
First-principles (PBE) data for a relaxed structure of LaTaZn, as listed in Alexandria. Values from VASP.

Calculated values
**Energy of formation from the pure elements**: 1.329 eV/atom
**Total magnetization**: 2.08 μB per formula unit
**Energy above the most stable polymorph in this dataset**: 3.34 eV/f.u.

Cell and atoms, written as Quantum ESPRESSO input:
```
&SYSTEM
  ibrav = 0, nat = 3, ntyp = 3
/
ATOMIC_SPECIES
La 138.91 La.upf
Ta 180.95 Ta.upf
Zn 65.41 Zn.upf
CELL_PARAMETERS angstrom
0.000 3.462 3.462
3.462 0.000 3.462
3.462 3.462 0.000
ATOMIC_POSITIONS crystal
La 0.000 0.000 0.000
Ta 0.750 0.750 0.750
Zn 0.250 0.250 0.250
```

No. 17
First-principles (PBE) data for a relaxed structure of LaTaZn2, as listed in Alexandria. Values from VASP.

Calculated values
**Energy of formation from the pure elements**: 0.217 eV/atom
**Total magnetization**: 0.00 μB per formula unit
**Energy above the most stable polymorph in this dataset**: 0.77 eV/f.u.

Cell and atoms, written as Quantum ESPRESSO input:
```
&SYSTEM
  ibrav = 0, nat = 4, ntyp = 3
/
ATOMIC_SPECIES
La 138.91 La.upf
Ta 180.95 Ta.upf
Zn 65.41 Zn.upf
CELL_PARAMETERS angstrom
4.904 -1.541 0.000
4.904 1.541 0.000
-1.032 0.000 5.670
ATOMIC_POSITIONS crystal
La 0.000 0.000 0.000
Ta 0.500 0.500 0.500
Zn 0.237 0.237 0.678
Zn 0.763 0.763 0.322
```

No. 18
First-principles (PBE) data for a relaxed structure of LaTaZn2, as listed in Alexandria. Values from VASP.

Calculated values
**Energy of formation from the pure elements**: 0.228 eV/atom
**Total magnetization**: 0.00 μB per formula unit
**Energy above the most stable polymorph in this dataset**: 0.81 eV/f.u.

Cell and atoms, written as Quantum ESPRESSO input:
```
&SYSTEM
  ibrav = 0, nat = 4, ntyp = 3
/
ATOMIC_SPECIES
La 138.91 La.upf
Ta 180.95 Ta.upf
Zn 65.41 Zn.upf
CELL_PARAMETERS angstrom
5.664 -1.525 0.000
5.664 1.525 0.000
-2.449 0.000 4.671
ATOMIC_POSITIONS crystal
La 0.000 0.000 0.000
Ta 0.772 0.772 0.270
Zn 0.225 0.225 0.723
Zn 0.512 0.512 0.512
```

No. 19
First-principles (PBE) data for a relaxed structure of LaTaZn2, as listed in Alexandria. Values from VASP.

Calculated values
**Energy of formation from the pure elements**: 0.137 eV/atom
**Total magnetization**: 0.00 μB per formula unit
**Energy above the most stable polymorph in this dataset**: 0.45 eV/f.u.

Cell and atoms, written as Quantum ESPRESSO input:
```
&SYSTEM
  ibrav = 0, nat = 4, ntyp = 3
/
ATOMIC_SPECIES
La 138.91 La.upf
Ta 180.95 Ta.upf
Zn 65.41 Zn.upf
CELL_PARAMETERS angstrom
3.069 0.000 0.000
0.000 3.069 0.000
0.000 0.000 8.483
ATOMIC_POSITIONS crystal
La 0.000 0.000 0.000
Ta 0.500 0.500 0.308
Zn 0.000 0.000 0.522
Zn 0.500 0.500 0.705
```

No. 20
First-principles (PBE) data for a relaxed structure of LaTaZn, as listed in Alexandria. Values from VASP.

Calculated values
**Energy of formation from the pure elements**: 0.215 eV/atom
**Total magnetization**: 0.00 μB per formula unit
**Energy above the most stable polymorph in this dataset**: 0.00 eV/f.u.

Cell and atoms, written as Quantum ESPRESSO input:
```
&SYSTEM
  ibrav = 0, nat = 3, ntyp = 3
/
ATOMIC_SPECIES
La 138.91 La.upf
Ta 180.95 Ta.upf
Zn 65.41 Zn.upf
CELL_PARAMETERS angstrom
-1.547 1.547 6.800
1.547 -1.547 6.800
1.547 1.547 -6.800
ATOMIC_POSITIONS crystal
La 0.000 0.000 0.000
Ta 0.310 0.310 0.000
Zn 0.682 0.682 0.000
```